Record 1
The following is a DFT calculation (SCAN) of YHS2 at its PBEsol-relaxed geometry.

Values from the calculation:
- Energy relative to the lowest polymorph listed for this composition: 801 meV/atom

a = 4.5526 Å, b = 4.5526 Å, c = 4.5526 Å
α = 60.00°, β = 60.00°, γ = 60.00°
With the nearest neighbours (Å) after each atom.
Element x y z (fractional)
Y1 0.5000 0.5000 0.5000  8 S 2.79
H1 0.0000 0.0000 0.0000  8 S 2.79
S1 0.2500 0.2500 0.2500  4 H 2.79, 4 Y 2.79
S2 0.7500 0.7500 0.7500  4 H 2.79, 4 Y 2.79

Record 2
The following is a DFT calculation (SCAN) of RbLiCo2C at its PBEsol-relaxed geometry.

Values from the calculation:
- Formation energy from the elements: 2234 meV per atom

a = 4.1725 Å, b = 4.1725 Å, c = 5.1412 Å
α = 90.00°, β = 90.00°, γ = 90.00°
With the nearest neighbours (Å) after each atom.
Element x y z (fractional)
C1 0.5000 0.5000 0.5000  4 Rb 2.95
Co1 0.0000 0.5000 0.0000  2 Li 2.09
Co2 0.5000 0.0000 0.0000  2 Li 2.09
Rb1 0.0000 0.0000 0.5000  2 Li 2.57
Li1 0.0000 0.0000 0.0000  4 Co 2.09

Record 3
The following is a DFT calculation (SCAN) of SiSbW2Br at its PBEsol-relaxed geometry.

Values from the calculation:
- Raw formation energy: 1808.4 meV per atom

a = 4.6027 Å, b = 4.7249 Å, c = 4.7249 Å
α = 90.00°, β = 90.00°, γ = 90.00°
With the nearest neighbours (Å) after each atom.
Element x y z (fractional)
Sb1 0.5000 0.5000 0.5000  8 W 3.30, 4 Br 3.34
Si1 0.0000 0.0000 0.0000  2 Br 2.30, 4 W 2.36
Br1 0.5000 0.0000 0.0000  2 Si 2.30
W1 0.0000 0.0000 0.5000  2 Si 2.36
W2 0.0000 0.5000 0.0000  2 Si 2.36

Record 4
The following is a DFT calculation (SCAN) of Dy4InRh at its PBEsol-relaxed geometry.

Values from the calculation:
- Formation energy from the elements: -677 meV per atom

a = 9.4795 Å, b = 9.4795 Å, c = 9.4795 Å
α = 60.00°, β = 60.00°, γ = 60.00°
With the nearest neighbours (Å) after each atom.
Element x y z (fractional)
Dy1 0.6896 0.3104 0.3104  2 Rh 2.77
Dy2 0.6896 0.3104 0.6896  2 Rh 2.77
Dy3 0.6896 0.6896 0.3104  2 Rh 2.77
Dy4 0.4384 0.0616 0.4384  2 In 3.19, 2 Rh 3.41, 10 Dy 3.41-3.57
Dy5 0.4506 0.8498 0.8498  3 Rh 2.78
Dy6 0.4384 0.4384 0.0616  2 In 3.19, 2 Rh 3.41, 10 Dy 3.41-3.57
Dy7 0.8498 0.8498 0.4506  3 Rh 2.78
Dy8 0.3104 0.6896 0.3104  2 Rh 2.77
Dy9 0.4384 0.0616 0.0616  2 In 3.19, 2 Rh 3.41, 10 Dy 3.41-3.57
Dy10 0.0616 0.4384 0.0616  2 In 3.19, 2 Rh 3.41, 10 Dy 3.41-3.57
Dy11 0.0616 0.4384 0.4384  2 In 3.19, 2 Rh 3.41, 10 Dy 3.41-3.57
Dy12 0.0616 0.0616 0.4384  2 In 3.19, 2 Rh 3.41, 10 Dy 3.41-3.57
Dy13 0.8498 0.8498 0.8498  3 Rh 2.78
Dy14 0.3104 0.6896 0.6896  2 Rh 2.77
Dy15 0.3104 0.3104 0.6896  2 Rh 2.77
Dy16 0.8498 0.4506 0.8498  3 Rh 2.78
In1 0.7527 0.0824 0.0824  3 In 3.13, 9 Dy 3.19-3.43
In2 0.0824 0.7527 0.0824  3 In 3.13, 9 Dy 3.19-3.43
In3 0.0824 0.0824 0.0824  3 In 3.13, 9 Dy 3.19-3.43
In4 0.0824 0.0824 0.7527  3 In 3.13, 9 Dy 3.19-3.43
Rh1 0.6425 0.6425 0.0726  6 Dy 2.77-2.78
Rh2 0.6425 0.0726 0.6425  6 Dy 2.77-2.78
Rh3 0.0726 0.6425 0.6425  6 Dy 2.77-2.78
Rh4 0.6425 0.6425 0.6425  6 Dy 2.77-2.78

Record 5
The following is a DFT calculation (SCAN) of TlAs2AuSe at its PBEsol-relaxed geometry.

Values from the calculation:
- Raw formation energy: 495.5 meV per atom

a = 4.9861 Å, b = 4.9861 Å, c = 5.2611 Å
α = 90.00°, β = 90.00°, γ = 90.00°
With the nearest neighbours (Å) after each atom.
Element x y z (fractional)
Tl1 0.5000 0.5000 0.5000  4 Se 3.53, 8 As 3.62
Au1 0.0000 0.0000 0.0000  4 As 2.49, 2 Se 2.63
As1 0.0000 0.5000 0.0000  2 Au 2.49
As2 0.5000 0.0000 0.0000  2 Au 2.49
Se1 0.0000 0.0000 0.5000  2 Au 2.63

Record 6
The following is a DFT calculation (SCAN) of Na2RePRh at its PBEsol-relaxed geometry.

Values from the calculation:
- Formation energy from the elements: 990 meV per atom

a = 4.4354 Å, b = 4.7879 Å, c = 4.7879 Å
α = 90.00°, β = 90.00°, γ = 90.00°
With the nearest neighbours (Å) after each atom.
Element x y z (fractional)
Na1 0.0000 0.0000 0.5000  2 P 2.39
Na2 0.0000 0.5000 0.0000  2 P 2.39
Re1 0.5000 0.0000 0.0000  2 P 2.22
Rh1 0.5000 0.5000 0.5000  8 Na 3.26, 4 Re 3.39
P1 0.0000 0.0000 0.0000  2 Re 2.22, 4 Na 2.39